[1]
! Li2YMo, relaxed, DFT GGA-PBEsol; values from VASP
&SYSTEM
  ibrav = 0, nat = 4, ntyp = 3
/
ATOMIC_SPECIES
Li 6.94 Li.upf
Mo 95.94 Mo.upf
Y 88.91 Y.upf
CELL_PARAMETERS angstrom
4.058 0.000 0.000
0.000 4.058 0.000
-2.029 -2.029 4.288
ATOMIC_POSITIONS crystal
Li 0.000 0.000 0.000
Li 0.750 0.250 0.500
Mo 0.500 0.500 0.000
Y 0.250 0.750 0.500
! **Fermi-level density of states**: 0.984 states/eV per atom
! **Total DFT energy (no corrections)**: -0.366 Ry per atom
! **M_tot**: 0.0 Bohr magnetons per cell
! **Symmetry**: I-4m2 (119)
! **ΔE to the lowest computed polymorph**: 119 meV/atom
! **Calculated density**: 4.67 Mg/m³

[2]
! Li2Y2Mo, relaxed, DFT GGA-PBEsol; values from VASP
&SYSTEM
  ibrav = 0, nat = 5, ntyp = 3
/
ATOMIC_SPECIES
Y 88.91 Y.upf
Mo 95.94 Mo.upf
Li 6.94 Li.upf
CELL_PARAMETERS angstrom
-1.654 0.556 3.015
2.508 -1.725 1.694
4.292 8.546 -1.232
ATOMIC_POSITIONS crystal
Y 0.410 0.410 0.820
Y 0.590 0.590 0.180
Mo 0.000 0.000 0.000
Li 0.250 0.750 0.500
Li 0.750 0.250 0.500
! **Fermi-level density of states**: 1.013 states/eV per atom
! **Total DFT energy (no corrections)**: -0.406 Ry per atom
! **M_tot**: 0.0 Bohr magnetons per cell
! **Symmetry**: I4/mmm (139)
! **Calculated density**: 4.22 Mg/m³

[3]
! Li2YMo, relaxed, DFT GGA-PBEsol; values from VASP
&SYSTEM
  ibrav = 0, nat = 4, ntyp = 3
/
ATOMIC_SPECIES
Li 6.94 Li.upf
Mo 95.94 Mo.upf
Y 88.91 Y.upf
CELL_PARAMETERS angstrom
-2.352 -0.764 4.123
-1.892 -4.322 0.923
1.941 -2.799 3.392
ATOMIC_POSITIONS crystal
Li 0.000 0.000 0.000
Li 0.750 0.750 0.750
Mo 0.500 0.500 0.500
Y 0.250 0.250 0.250
! **Fermi-level density of states**: 0.540 states/eV per atom
! **Total DFT energy (no corrections)**: -0.362 Ry per atom
! **M_tot**: 2.8 Bohr magnetons per cell
! **Symmetry**: F-43m (216)
! **ΔE to the lowest computed polymorph**: 171 meV/atom
! **Calculated density**: 4.20 Mg/m³

What did the first record say?
! Li2YMo, relaxed, DFT GGA-PBEsol; values from VASP
&SYSTEM
  ibrav = 0, nat = 4, ntyp = 3
/
ATOMIC_SPECIES
Li 6.94 Li.upf
Mo 95.94 Mo.upf
Y 88.91 Y.upf
CELL_PARAMETERS angstrom
4.058 0.000 0.000
0.000 4.058 0.000
-2.029 -2.029 4.288
ATOMIC_POSITIONS crystal
Li 0.000 0.000 0.000
Li 0.750 0.250 0.500
Mo 0.500 0.500 0.000
Y 0.250 0.750 0.500
! **Fermi-level density of states**: 0.984 states/eV per atom
! **Total DFT energy (no corrections)**: -0.366 Ry per atom
! **M_tot**: 0.0 Bohr magnetons per cell
! **Symmetry**: I-4m2 (119)
! **ΔE to the lowest computed polymorph**: 119 meV/atom
! **Calculated density**: 4.67 Mg/m³